1.
A geometry-optimized SrCuOs2 structure, computed with PBE.

calculated total energy: -6.576 eV per atom
E_form: 483 meV per atom
SG: No. 99

```
SrCuOs2
1.0
2.9726 0.0000 0.0000
0.0000 2.9726 0.0000
0.0000 0.0000 8.0090
Sr Cu Os
1 1 2
Direct
0.0000 0.0000 0.0000
0.5000 0.5000 0.2997
0.0000 0.0000 0.5007
0.5000 0.5000 0.6935
```

---

2.
A geometry-optimized Cs3RbRu2O8 structure, computed with PBE.

calculated total energy: -5.741 eV per atom
SG: No. 164
uncorrected formation energy: -1330 meV per atom

```
Cs3RbRu2O8
1.0
6.6536 0.0000 0.0000
-3.3268 5.7621 0.0000
0.0000 0.0000 8.6252
Cs Rb Ru O
3 1 2 8
Direct
0.0000 0.0000 0.0000
0.3333 0.6667 0.6707
0.6667 0.3333 0.3293
0.0000 0.0000 0.5000
0.3333 0.6667 0.2121
0.6667 0.3333 0.7879
0.1878 0.3756 0.2904
0.1878 0.8122 0.2904
0.3333 0.6667 0.0063
0.3756 0.1878 0.7096
0.6244 0.8122 0.2904
0.6667 0.3333 0.9937
0.8122 0.1878 0.7096
0.8122 0.6244 0.7096
```

---

3.
A geometry-optimized CaCr2Se structure, computed with PBE.

calculated total energy: -5.783 eV per atom
SG: No. 166
uncorrected formation energy: 400 meV per atom

```
CaCr2Se
1.0
1.7787 1.0269 8.6754
-1.7787 1.0269 8.6754
0.0000 -2.0538 8.6754
Ca Cr Se
1 2 1
Direct
0.0000 0.0000 0.0000
0.2300 0.2300 0.2300
0.7700 0.7700 0.7700
0.5000 0.5000 0.5000
```

---

4.
A geometry-optimized Be6CuPd5 structure, computed with PBE.

calculated total energy: -4.863 eV per atom
E_form: -494 meV per atom
SG: No. 10

```
Be6CuPd5
1.0
3.9845 0.0000 0.0000
0.0000 5.6222 0.0000
-1.8762 0.0000 5.9890
Be Cu Pd
6 1 5
Direct
0.0000 0.2467 0.0000
0.0000 0.7533 0.0000
0.3328 0.2452 0.6672
0.3328 0.7548 0.6672
0.6672 0.2452 0.3328
0.6672 0.7548 0.3328
0.5000 0.0000 0.0000
0.1638 0.0000 0.3244
0.1666 0.5000 0.3326
0.5000 0.5000 0.0000
0.8334 0.5000 0.6674
0.8362 0.0000 0.6756
```

---

5.
A geometry-optimized Nd4Er2Th structure, computed with PBE.

calculated total energy: -4.787 eV per atom
E_form: 301 meV per atom
SG: No. 74

```
Nd4Er2Th
1.0
-3.4059 5.8041 6.0785
3.4059 -5.8041 6.0785
3.4059 5.8041 -6.0785
Nd Er Th
8 4 2
Direct
0.1577 0.1552 0.0025
0.2378 0.2115 0.4737
0.2378 0.7641 0.0263
0.3474 0.8448 0.5025
0.6526 0.1552 0.4975
0.7622 0.2359 0.9737
0.7622 0.7885 0.5263
0.8423 0.8448 0.9975
0.0000 0.5000 0.5000
0.0292 0.2792 0.7500
0.5000 0.5000 0.0000
0.9708 0.7208 0.2500
0.5000 0.0000 0.0000
0.5000 0.5000 0.5000
```

---

6.
A geometry-optimized Pm2NdHo4Sc structure, computed with PBE.

calculated total energy: -4.447 eV per atom
E_form: 417 meV per atom
SG: No. 74

```
Pm2NdHo4Sc
1.0
-3.3749 5.8592 6.5557
3.3749 -5.8592 6.5557
3.3749 5.8592 -6.5557
Pm Nd Ho Sc
4 2 8 2
Direct
0.0000 0.0000 0.0000
0.5000 0.0000 0.0000
0.5000 0.0000 0.5000
0.5000 0.5000 0.5000
0.0000 0.5000 0.5000
0.5000 0.5000 0.0000
0.2344 0.2499 0.9845
0.2346 0.7501 0.4845
0.2362 0.2362 0.5000
0.2362 0.7362 0.0000
0.7638 0.2638 0.0000
0.7638 0.7638 0.5000
0.7654 0.2499 0.5155
0.7656 0.7501 0.0155
0.0000 0.0000 0.5000
0.0000 0.5000 0.0000
```

---

Copy entry 4 word for word.
A geometry-optimized Be6CuPd5 structure, computed with PBE.

calculated total energy: -4.863 eV per atom
E_form: -494 meV per atom
SG: No. 10

```
Be6CuPd5
1.0
3.9845 0.0000 0.0000
0.0000 5.6222 0.0000
-1.8762 0.0000 5.9890
Be Cu Pd
6 1 5
Direct
0.0000 0.2467 0.0000
0.0000 0.7533 0.0000
0.3328 0.2452 0.6672
0.3328 0.7548 0.6672
0.6672 0.2452 0.3328
0.6672 0.7548 0.3328
0.5000 0.0000 0.0000
0.1638 0.0000 0.3244
0.1666 0.5000 0.3326
0.5000 0.5000 0.0000
0.8334 0.5000 0.6674
0.8362 0.0000 0.6756
```

---

- Among the records above, which one has the lowest calculated total energy?
  SrCuOs2

---

Please write out number 5 again, unchanged.
A geometry-optimized Nd4Er2Th structure, computed with PBE.

calculated total energy: -4.787 eV per atom
E_form: 301 meV per atom
SG: No. 74

```
Nd4Er2Th
1.0
-3.4059 5.8041 6.0785
3.4059 -5.8041 6.0785
3.4059 5.8041 -6.0785
Nd Er Th
8 4 2
Direct
0.1577 0.1552 0.0025
0.2378 0.2115 0.4737
0.2378 0.7641 0.0263
0.3474 0.8448 0.5025
0.6526 0.1552 0.4975
0.7622 0.2359 0.9737
0.7622 0.7885 0.5263
0.8423 0.8448 0.9975
0.0000 0.5000 0.5000
0.0292 0.2792 0.7500
0.5000 0.5000 0.0000
0.9708 0.7208 0.2500
0.5000 0.0000 0.0000
0.5000 0.5000 0.5000
```